Record 1
# PBE HW2Cl8, relaxed
data_HW2Cl8
_chemical_formula_sum 'H2 W4 Cl16'
_cell_length_a 12.4108
_cell_length_b 8.5627
_cell_length_c 7.6388
_cell_angle_alpha 90.00
_cell_angle_beta 90.38
_cell_angle_gamma 90.00
_space_group_name_H-M_alt 'C 1 2/m 1'
_space_group_IT_number 12
loop_
_space_group_symop_operation_xyz
'x,y,z'
'-x,-y,-z'
'-x,y,-z'
'x,-y,z'
'x+1/2,y+1/2,z'
'-x+1/2,-y+1/2,-z'
'-x+1/2,y+1/2,-z'
'x+1/2,-y+1/2,z'
loop_
_atom_site_label
_atom_site_fract_x
_atom_site_fract_y
_atom_site_fract_z
_atom_site_occupancy
H1 0.0000 0.0000 0.0000 1
W1 0.2055 0.0000 0.6973 1
Cl1 0.1116 0.1837 0.8393 1
Cl2 0.1171 0.5000 0.2441 1
Cl3 0.1770 0.0000 0.4065 1
# - mass density (g/cm3) = 2.669
# - spin magnetization (μB/atom) = 0.273
# - uncorrected energy (eV/cell) = -96.56

---

Record 2
# PBE HoErRu2, relaxed
data_HoErRu2
_chemical_formula_sum 'Ho4 Er4 Ru8'
_cell_length_a 6.7538
_cell_length_b 6.7538
_cell_length_c 6.7538
_cell_angle_alpha 90.00
_cell_angle_beta 90.00
_cell_angle_gamma 90.00
_space_group_name_H-M_alt 'F m -3 m'
_space_group_IT_number 225
_space_group_name_Hall '-F 4 2 3'
loop_
_atom_site_label
_atom_site_fract_x
_atom_site_fract_y
_atom_site_fract_z
_atom_site_occupancy
Ho1 0.0000 0.0000 0.0000 1
Er1 0.0000 0.0000 0.5000 1
Ru1 0.2500 0.2500 0.2500 1
# - energy of formation from the pure elements (eV/atom) = -0.37
# - mass density (g/cm3) = 11.521
# - spin magnetization (μB/atom) = 0.000
# - uncorrected energy (eV/cell) = -116.68

---

Among the records above, which one has the highest uncorrected energy?
HW2Cl8

---

Among the records above, which one has the highest uncorrected energy?
HW2Cl8

---

Look up the spin magnetization of the second one.
0.000 μB/atom

---

Which of these has the lowest mass density?
HW2Cl8